Compound: CrSnF2
Source: Alexandria
Functional: PBE+U
Structure: optimized geometry

Geometry as POSCAR:
```
CrSnF2
1.0
-0.709 -7.968 2.631
-0.309 -8.390 -0.652
2.353 -7.978 1.313
F Sn Cr
2 1 1
Direct
0.872 0.872 0.872
0.128 0.128 0.128
0.000 0.000 0.000
0.500 0.500 0.500
```

Results
Excess energy over the best structure of this formula in the dataset in eV per atom: 0.000
Total moment in μB per formula unit: 4.0
Space-group type: R-3m